Computed, not measured: a relaxed structure of Pm6Si3Pd at the GGA-PBE level of DFT.

Cell lengths 6.457, 8.209, 10.673 Å; angles 90.00, 90.62, 90.00 degrees
Sites, in units of the cell vectors:
Si: 0.924 0.382 0.754
Si: 0.076 0.618 0.246
Si: 0.500 0.500 0.000
Si: 0.424 0.118 0.254
Si: 0.576 0.882 0.746
Si: 0.000 0.000 0.500
Pm: 0.137 0.322 0.423
Pm: 0.859 0.676 0.928
Pm: 0.141 0.324 0.072
Pm: 0.863 0.678 0.577
Pm: 0.353 0.547 0.750
Pm: 0.359 0.824 0.428
Pm: 0.147 0.047 0.750
Pm: 0.853 0.953 0.250
Pm: 0.647 0.453 0.250
Pm: 0.637 0.178 0.923
Pm: 0.641 0.176 0.572
Pm: 0.363 0.822 0.077
Pd: 0.500 0.500 0.500
Pd: 0.000 0.000 0.000

DFT total energy (eV for the cell shown): -109.46
Magnetic moment (μB/f.u.): 0.00
Space-group type: No. 14